# Li2Nd2CoO6

A relaxed structure of Li2Nd2CoO6 (PBE+U, the Alexandria database).

It has space group R-3m (No. 166, hexagonal axes), with a = 5.5265 Å, b = 5.5265 Å, c = 14.0128 Å, α = 90.00°, β = 90.00° and γ = 120.00°. The distinct sites, in fractional coordinates, are Li at (0.0000, 0.0000, 0.0726), Nd at (0.0000, 0.0000, 0.2776), Co at (0.0000, 0.0000, 0.5000) and O at (0.0293, 0.5146, 0.2507).

Its electronic total energy is -6.4094 eV/atom. The density of states at the Fermi level is 0.4858 states/eV/atom. The size of the total moment is 0.091 μB per atom.